## Sc2CoRe (GGA-PBE)

Data for a geometry-optimized Sc2CoRe structure.

Results
**Final energy**: -7.908 eV per atom
**Energy relative to the elements**: 0.147 eV per atom
**Magnetization**: 1.83 μB/f.u.

Lattice parameters (Å, degrees): 6.3920 6.3920 6.3920 90.00 90.00 90.00
Space group F-43m (No. 216)
Unique sites:
Sc 0.0000 0.0000 0.0000
Sc 0.2500 0.2500 0.2500
Co 0.0000 0.0000 0.5000
Re 0.2500 0.2500 0.7500

---

## KBa2AgO (GGA-PBE)

Data for a geometry-optimized KBa2AgO structure.

Results
**Final energy**: -3.479 eV per atom
**Magnetization**: 0.00 μB/f.u.
**Energy relative to the elements, uncorrected**: -929 meV/atom

Lattice parameters (Å, degrees): 5.4634 5.4634 5.4882 90.00 90.00 90.00
Space group P4/mmm (No. 123)
Unique sites:
K 0.0000 0.0000 0.0000
Ba 0.0000 0.5000 0.5000
Ag 0.5000 0.5000 0.0000
O 0.0000 0.0000 0.5000

---

## CeDyTm4 (GGA-PBE)

Data for a geometry-optimized CeDyTm4 structure.

Results
**Final energy**: -4.651 eV per atom
**Energy relative to the elements**: 0.086 eV per atom
**Magnetization**: 0.68 μB/f.u.
**Polymorph energy (0 for the lowest one)**: 0.067 eV/atom

Lattice parameters (Å, degrees): 5.5840 22.1338 5.9850 90.00 90.00 90.00
Space group Imma (No. 74)
Unique sites:
Ce 0.0000 0.0000 0.0000
Dy 0.0000 0.2500 0.4245
Tm 0.0000 0.0894 0.4352
Tm 0.0000 0.1676 0.9247

---

## Al2ZnCu8 (GGA-PBE)

Data for a geometry-optimized Al2ZnCu8 structure.

Results
**Final energy**: -3.917 eV per atom
**Energy relative to the elements**: -0.142 eV per atom
**Magnetization**: 0.00 μB/f.u.
**Polymorph energy (0 for the lowest one)**: 0.000 eV/atom

Lattice parameters (Å, degrees): 4.5359 4.5840 6.7806 81.39 88.99 82.15
Space group P-1 (No. 2)
Unique sites:
Al 0.1242 0.1857 0.2779
Zn 0.5000 0.0000 0.0000
Cu 0.0437 0.7274 0.0926
Cu 0.2284 0.6334 0.4537
Cu 0.3245 0.0930 0.6353
Cu 0.4112 0.5488 0.8170

---

## BeCoTe2 (GGA-PBE)

Data for a geometry-optimized BeCoTe2 structure.

Results
**Final energy**: -3.788 eV per atom
**Magnetization**: 1.11 μB/f.u.
**Energy relative to the elements, uncorrected**: 491 meV/atom

Lattice parameters (Å, degrees): 6.1608 7.3442 4.4145 90.00 124.74 90.00
Space group C2/m (No. 12)
Unique sites:
Be 0.0000 0.0000 0.0000
Co 0.0000 0.5000 0.0000
Te 0.2500 0.2500 0.5000

---

## LiPaAg2I8 (GGA-PBE)

Data for a geometry-optimized LiPaAg2I8 structure.

Results
**Final energy**: -3.178 eV per atom
**Magnetization**: 0.00 μB/f.u.
**Energy relative to the elements, uncorrected**: -719 meV/atom

Lattice parameters (Å, degrees): 7.5243 7.8635 9.1910 70.82 87.98 75.92
Space group P-1 (No. 2)
Unique sites:
Li 0.0000 0.0000 0.0000
Pa 0.0000 0.0000 0.5000
Ag 0.4504 0.3748 0.1504
I 0.1052 0.2474 0.2029
I 0.1137 0.2142 0.6723
I 0.3631 0.7693 0.0707
I 0.3735 0.7537 0.5454

---

Repeat the sixth record exactly.
## LiPaAg2I8 (GGA-PBE)

Data for a geometry-optimized LiPaAg2I8 structure.

Results
**Final energy**: -3.178 eV per atom
**Magnetization**: 0.00 μB/f.u.
**Energy relative to the elements, uncorrected**: -719 meV/atom

Lattice parameters (Å, degrees): 7.5243 7.8635 9.1910 70.82 87.98 75.92
Space group P-1 (No. 2)
Unique sites:
Li 0.0000 0.0000 0.0000
Pa 0.0000 0.0000 0.5000
Ag 0.4504 0.3748 0.1504
I 0.1052 0.2474 0.2029
I 0.1137 0.2142 0.6723
I 0.3631 0.7693 0.0707
I 0.3735 0.7537 0.5454